Compound: NaZnSn
Source: Alexandria
Functional: PBE
Structure: relaxed

Results
Its formation energy is -132 meV per atom. The value obtained for the magnetization is 0.00 μB per cell. As for the calculated total energy: -2.331 eV per atom.

Unit cell a=7.5522 b=4.6200 c=8.2048 alpha=90.00 beta=90.00 gamma=90.00
With the nearest neighbours (Å) after each atom.
Space group Pnma (No. 62)
Symmetry-distinct sites (fractional):
Na 0.0064 0.2500 0.1888 x4  5 Zn 3.24-3.38, 6 Sn 3.30-3.51
Zn 0.1965 0.7500 0.4047 x4  4 Sn 2.74-2.88
Sn 0.1841 0.2500 0.5844 x4  4 Zn 2.74-2.88